## Ta2HgOs2 (PBE)

Data for a relaxed Ta2HgOs2 crystal.

Output
M_tot   0.000 μB per atom
Space-group type   P4/mbm, No. 127
Formation enthalpy at 0 K   32 meV/atom

Cell lengths 7.6803, 7.6803, 3.0208 Å; angles 90.00, 90.00, 90.00 degrees
Last column: nearest neighbours and their distance in Å.
Fractional coordinates of all 10 atoms:
1 Os 0.3617 0.8617 0.0000  6 Ta 2.70-2.72, 2 Hg 2.97, 3 Os 3.00-3.02
2 Os 0.8617 0.6383 0.0000  6 Ta 2.70-2.72, 2 Hg 2.97, 3 Os 3.00-3.02
3 Os 0.6383 0.1383 0.0000  6 Ta 2.70-2.72, 2 Hg 2.97, 3 Os 3.00-3.02
4 Os 0.1383 0.3617 0.0000  6 Ta 2.70-2.72, 2 Hg 2.97, 3 Os 3.00-3.02
5 Hg 0.0000 0.0000 0.0000  4 Os 2.97, 2 Hg 3.02, 8 Ta 3.28
6 Hg 0.5000 0.5000 0.0000  4 Os 2.97, 2 Hg 3.02, 8 Ta 3.28
7 Ta 0.1534 0.6534 0.5000  6 Os 2.70-2.72, 2 Ta 3.02
8 Ta 0.6534 0.8466 0.5000  6 Os 2.70-2.72, 2 Ta 3.02
9 Ta 0.8466 0.3466 0.5000  6 Os 2.70-2.72, 2 Ta 3.02
10 Ta 0.3466 0.1534 0.5000  6 Os 2.70-2.72, 2 Ta 3.02